1:
VASP calculation (PBE) on a relaxed Tm3ZnGe3 crystal.

Calculated values
Space group: No. 12
Calculated volume: 20.82 Å³/atom

Lattice parameters (Å, degrees): 5.7452 5.7452 13.7143 107.47 107.47 42.86
Element x y z (fractional)
Tm  0.0188  0.0188  0.3764
Tm  0.1035  0.1035  0.9217
Tm  0.2384  0.2384  0.2250
Tm  0.7616  0.7616  0.7750
Tm  0.8965  0.8965  0.0783
Tm  0.9812  0.9812  0.6236
Zn  0.2703  0.2703  0.6122
Zn  0.7297  0.7297  0.3878
Ge  0.3639  0.3639  0.4529
Ge  0.3797  0.3797  0.9250
Ge  0.4839  0.4839  0.7735
Ge  0.5161  0.5161  0.2265
Ge  0.6203  0.6203  0.0750
Ge  0.6361  0.6361  0.5471

***

2:
VASP calculation (PBE) on a relaxed Tm3ZnGe3 crystal.

Calculated values
Space group: No. 176
Calculated volume: 25.38 Å³/atom

Lattice parameters (Å, degrees): 8.4473 8.4473 5.7507 90.00 90.00 120.00
Element x y z (fractional)
Tm  0.0480  0.6916  0.2500
Tm  0.3084  0.3564  0.2500
Tm  0.3564  0.0480  0.7500
Tm  0.6436  0.9520  0.2500
Tm  0.6916  0.6436  0.7500
Tm  0.9520  0.3084  0.7500
Zn  0.3333  0.6667  0.7500
Zn  0.6667  0.3333  0.2500
Ge  0.0458  0.6880  0.7500
Ge  0.3120  0.3578  0.7500
Ge  0.3578  0.0458  0.2500
Ge  0.6422  0.9542  0.7500
Ge  0.6880  0.6422  0.2500
Ge  0.9542  0.3120  0.2500

***

Which one is most stable, and which one is least stable? 1 is the most stable of them, while 2 is the least stable.

***

1:
VASP calculation (PBE) on a relaxed Tm2Zn3Ge crystal.

Calculated values
Space group: No. 69
Calculated volume: 19.37 Å³/atom

Lattice parameters (Å, degrees): 8.7370 8.3471 5.6054 74.66 67.12 38.22
Element x y z (fractional)
Tm  0.2471  0.7529  0.7529
Tm  0.2500  0.2500  0.2500
Tm  0.7500  0.7500  0.7500
Tm  0.7529  0.2471  0.2471
Zn  0.1651  0.1651  0.8349
Zn  0.1672  0.6686  0.3314
Zn  0.3314  0.8328  0.1672
Zn  0.6686  0.1672  0.8328
Zn  0.8328  0.3314  0.6686
Zn  0.8349  0.8349  0.1651
Ge  0.3334  0.3334  0.6666
Ge  0.6666  0.6666  0.3334

***

2:
VASP calculation (PBE) on a relaxed Tm2Zn3Ge crystal.

Calculated values
Space group: No. 25
Calculated volume: 19.54 Å³/atom

Lattice parameters (Å, degrees): 3.5838 4.3549 7.5135 90.00 90.00 90.00
Element x y z (fractional)
Tm  0.0000  0.0000  0.0000
Tm  0.0000  0.5000  0.4867
Zn  0.5000  0.0000  0.6682
Zn  0.5000  0.5000  0.1516
Zn  0.5000  0.5000  0.8218
Ge  0.5000  0.0000  0.3312

***

Which one is most stable, and which one is least stable? 1 is the most stable of them, while 2 is the least stable.

***

1:
VASP calculation (PBE) on a relaxed U4Ge crystal.

Calculated values
Space group: No. 12
Calculated volume: 19.94 Å³/atom

Lattice parameters (Å, degrees): 8.9751 4.6674 5.2880 90.00 115.83 90.00
Element x y z (fractional)
U  0.1189  0.0000  0.2415
U  0.2348  0.5000  0.1756
U  0.2652  0.0000  0.8244
U  0.3811  0.5000  0.7585
U  0.6189  0.5000  0.2415
U  0.7348  0.0000  0.1756
U  0.7652  0.5000  0.8244
U  0.8811  0.0000  0.7585
Ge  0.0000  0.5000  0.5000
Ge  0.5000  0.0000  0.5000

***

2:
VASP calculation (PBE) on a relaxed U4Ge crystal.

Calculated values
Space group: No. 221
Calculated volume: 30.00 Å³/atom

Lattice parameters (Å, degrees): 5.3131 5.3131 5.3131 90.00 90.00 90.00
Element x y z (fractional)
U  0.0000  0.0000  0.0000
U  0.0000  0.5000  0.5000
U  0.5000  0.0000  0.5000
U  0.5000  0.5000  0.0000
Ge  0.5000  0.5000  0.5000

***

Which one is most stable, and which one is least stable? 1 is the most stable of them, while 2 is the least stable.